Record 1
First-principles (PBE) data for a relaxed structure of Pm8DySc5, as listed in Alexandria.

The value obtained for the energy relative to the elements is 0.1960 eV/atom. Its calculated total energy is -71.5 eV per cell.

Geometry as CIF:
```
data_Pm8DySc5
_cell_length_a 8.174
_cell_length_b 8.223
_cell_length_c 8.500
_cell_angle_alpha 98.99
_cell_angle_beta 112.98
_cell_angle_gamma 115.49
_symmetry_space_group_name_H-M 'P 1'
_symmetry_Int_Tables_number 1
loop_
_symmetry_equiv_pos_as_xyz
'x,y,z'
loop_
_atom_site_label
_atom_site_type_symbol
_atom_site_fract_x
_atom_site_fract_y
_atom_site_fract_z
Pm1 Pm 0.000 0.000 0.000
Pm2 Pm 0.002 0.608 0.568
Pm3 Pm 0.264 0.973 0.404
Pm4 Pm 0.280 0.454 0.857
Pm5 Pm 0.404 0.600 0.374
Pm6 Pm 0.547 0.279 0.248
Pm7 Pm 0.762 0.113 0.609
Pm8 Pm 0.889 0.399 0.061
Dy1 Dy 0.287 0.084 0.789
Sc1 Sc 0.040 0.218 0.400
Sc2 Sc 0.282 0.802 0.045
Sc3 Sc 0.528 0.860 0.819
Sc4 Sc 0.622 0.486 0.719
Sc5 Sc 0.745 0.735 0.188
```

Record 2
First-principles (PBE) data for a relaxed structure of La2ZrCo, as listed in Alexandria.

The value obtained for the energy relative to the elements is 0.0428 eV/atom. Its calculated total energy is -50.7 eV per cell. The polymorph energy (0 for the lowest one) comes out at 0.036 eV/atom.

Geometry as CIF:
```
data_La2ZrCo
_cell_length_a 3.536
_cell_length_b 5.500
_cell_length_c 10.697
_cell_angle_alpha 90.00
_cell_angle_beta 90.00
_cell_angle_gamma 90.00
_symmetry_space_group_name_H-M 'I m m 2'
_symmetry_Int_Tables_number 44
loop_
_symmetry_equiv_pos_as_xyz
'x,y,z'
'-x,-y,z'
'-x,y,z'
'x,-y,z'
'x+1/2,y+1/2,z+1/2'
'-x+1/2,-y+1/2,z+1/2'
'-x+1/2,y+1/2,z+1/2'
'x+1/2,-y+1/2,z+1/2'
loop_
_atom_site_label
_atom_site_type_symbol
_atom_site_fract_x
_atom_site_fract_y
_atom_site_fract_z
La1 La 0.000 0.000 0.000
La2 La 0.000 0.500 0.196
Zr1 Zr 0.000 0.500 0.812
Co1 Co 0.000 0.000 0.478
```

Record 3
First-principles (PBE) data for a relaxed structure of SrMg6Sb, as listed in Alexandria.

Its calculated total energy is -32.2 eV per cell. The formation energy from raw total energies comes out at -0.09 eV/atom.

Geometry as CIF:
```
data_SrMg6Sb
_cell_length_a 5.077
_cell_length_b 6.208
_cell_length_c 13.654
_cell_angle_alpha 90.00
_cell_angle_beta 90.00
_cell_angle_gamma 90.00
_symmetry_space_group_name_H-M 'A m m 2'
_symmetry_Int_Tables_number 38
loop_
_symmetry_equiv_pos_as_xyz
'x,y,z'
'-x,-y,z'
'-x,y,z'
'x,-y,z'
'x,y+1/2,z+1/2'
'-x,-y+1/2,z+1/2'
'-x,y+1/2,z+1/2'
'x,-y+1/2,z+1/2'
loop_
_atom_site_label
_atom_site_type_symbol
_atom_site_fract_x
_atom_site_fract_y
_atom_site_fract_z
Sr1 Sr 0.000 0.000 0.000
Mg1 Mg 0.000 0.243 0.733
Mg2 Mg 0.500 0.000 0.167
Mg3 Mg 0.500 0.000 0.606
Mg4 Mg 0.500 0.245 0.867
Sb1 Sb 0.000 0.000 0.434
```

Record 4
First-principles (PBE) data for a relaxed structure of Pm2CuPbO5, as listed in Alexandria.

Its calculated total energy is -244.1 eV per cell. The formation energy from raw total energies comes out at -2.10 eV/atom.

Geometry as CIF:
```
data_Pm2CuPbO5
_cell_length_a 6.702
_cell_length_b 6.702
_cell_length_c 11.505
_cell_angle_alpha 90.00
_cell_angle_beta 90.00
_cell_angle_gamma 90.00
_symmetry_space_group_name_H-M 'I 4/m c m'
_symmetry_Int_Tables_number 140
_symmetry_space_group_name_Hall '-I 4 2c'
loop_
_atom_site_label
_atom_site_type_symbol
_atom_site_fract_x
_atom_site_fract_y
_atom_site_fract_z
Pm1 Pm 0.172 0.328 0.000
Cu1 Cu 0.000 0.500 0.250
Pb1 Pb 0.000 0.000 0.250
O1 O 0.000 0.000 0.000
O2 O 0.143 0.357 0.372
```